DyAlRhO4, relaxed, DFT PBE; size of the total moment = 2.0 μB/cell; formation energy from raw total energies = -2.20 eV/atom
1.0
2.950 -4.309 0.000
2.950 4.309 0.000
0.000 0.000 7.024
Dy Al Rh O
2 2 2 8
Cartesian
0.000 0.000 0.000 Dy
0.000 0.000 3.512 Dy
2.950 1.108 5.268 Al
2.950 -1.108 1.756 Al
2.950 1.815 1.756 Rh
2.950 -1.815 5.268 Rh
1.495 0.062 5.268 O
1.495 -0.062 1.756 O
2.950 2.045 3.770 O
2.950 2.045 6.766 O
2.950 -2.045 0.258 O
2.950 -2.045 3.254 O
4.405 0.062 5.268 O
4.405 -0.062 1.756 O

=====

Li4AgSn3S8, relaxed, DFT PBE; size of the total moment = 0.0 μB/cell; formation energy from raw total energies = -0.67 eV/atom
1.0
3.774 2.179 6.152
-3.774 2.179 6.152
0.000 -4.358 6.152
Li Ag Sn S
4 1 3 8
Cartesian
0.000 0.000 0.000 Li
-1.887 -1.090 6.152 Li
-1.887 1.090 12.304 Li
0.000 2.179 6.152 Li
0.000 0.000 9.228 Ag
-3.774 0.000 9.228 Sn
-1.887 1.090 3.076 Sn
1.887 1.090 3.076 Sn
-1.960 -1.131 10.753 S
0.000 -2.263 7.704 S
-1.960 1.131 7.704 S
0.000 0.000 4.661 S
0.000 0.000 13.796 S
1.960 -1.131 10.753 S
0.000 2.263 10.753 S
1.960 1.131 7.704 S

=====

Nd2ThScTe4, relaxed, DFT PBE; size of the total moment = 0.0 μB/cell; formation energy from raw total energies = -1.21 eV/atom
1.0
7.619 0.000 0.000
0.000 4.387 0.000
-2.537 0.000 7.301
Nd Th Sc Te
2 1 1 4
Cartesian
0.000 0.000 0.000 Nd
-1.268 2.194 3.651 Nd
2.541 0.000 3.651 Th
3.809 2.194 0.000 Sc
1.361 2.194 1.751 Te
0.094 0.000 5.609 Te
4.987 0.000 1.692 Te
3.721 2.194 5.550 Te

=====

BaMgScCl2, relaxed, DFT PBE; size of the total moment = 2.6 μB/cell; formation energy from raw total energies = -0.48 eV/atom
1.0
5.194 0.000 0.000
0.000 5.194 0.000
0.000 0.000 6.179
Ba Mg Sc Cl
1 1 1 2
Cartesian
0.000 0.000 0.000 Ba
2.597 2.597 3.090 Mg
2.597 2.597 0.000 Sc
0.000 2.597 3.090 Cl
2.597 0.000 3.090 Cl

=====

La8Co3Br3Cl, relaxed, DFT PBE; size of the total moment = 0.0 μB/cell; formation energy from raw total energies = -0.81 eV/atom
1.0
7.376 -4.125 0.000
7.376 4.125 0.000
-4.711 0.000 7.387
La Co Br Cl
8 3 3 1
Cartesian
3.791 2.270 5.269 La
0.242 0.000 5.144 La
6.251 2.270 2.118 La
2.307 0.000 2.166 La
7.735 0.000 5.221 La
3.791 -2.270 5.269 La
9.800 0.000 2.243 La
6.251 -2.270 2.118 La
-2.355 0.000 3.694 Co
1.333 2.063 3.694 Co
1.333 -2.063 3.694 Co
3.688 2.063 0.000 Br
3.688 -2.063 0.000 Br
7.376 0.000 0.000 Br
5.021 0.000 3.694 Cl

=====

NdMgZn10, relaxed, DFT PBE; size of the total moment = 0.0 μB/cell; raw total energy = -1.755 eV per atom
1.0
4.298 0.000 0.000
0.000 5.222 0.000
0.000 0.000 9.260
Nd Mg Zn
1 1 10
Cartesian
0.000 0.000 0.000 Nd
0.000 2.611 4.630 Mg
0.000 0.000 3.213 Zn
0.000 0.000 6.048 Zn
0.000 2.611 1.759 Zn
0.000 2.611 7.501 Zn
2.149 0.000 4.630 Zn
2.149 1.274 2.255 Zn
2.149 1.274 7.006 Zn
2.149 2.611 0.000 Zn
2.149 3.949 2.255 Zn
2.149 3.949 7.006 Zn

=====

Ba2TlHg6, relaxed, DFT PBE; size of the total moment = 0.0 μB/cell; energy above the most stable polymorph in this dataset = 0.0 meV per atom
1.0
6.124 -3.528 0.000
6.124 3.528 0.000
-0.011 0.000 6.451
Ba Tl Hg
2 1 6
Cartesian
2.036 0.000 1.122 Ba
10.201 0.000 5.329 Ba
6.124 0.000 0.000 Tl
4.999 1.933 2.161 Hg
3.871 0.000 4.294 Hg
7.237 1.933 4.291 Hg
4.999 -1.933 2.161 Hg
8.365 0.000 2.157 Hg
7.237 -1.933 4.291 Hg

=====

Tb12Ru6Au, relaxed, DFT PBE; size of the total moment = 0.0 μB/cell; raw total energy = -6.331 eV per atom
1.0
-4.903 4.903 4.903
4.903 -4.903 4.903
4.903 4.903 -4.903
Tb Ru Au
12 6 1
Cartesian
4.903 2.992 -2.021 Tb
2.882 0.000 1.911 Tb
6.923 0.000 1.911 Tb
1.911 2.882 0.000 Tb
2.992 -2.021 4.903 Tb
0.000 1.911 2.882 Tb
4.903 2.992 2.021 Tb
1.911 6.923 0.000 Tb
2.992 2.021 4.903 Tb
-2.021 4.903 2.992 Tb
2.021 4.903 2.992 Tb
0.000 1.911 6.923 Tb
4.903 1.223 0.000 Ru
4.903 0.000 3.680 Ru
3.680 4.903 0.000 Ru
1.223 0.000 4.903 Ru
0.000 4.903 1.223 Ru
0.000 3.680 4.903 Ru
0.000 0.000 0.000 Au

=====

Nb2PdCl8, relaxed, DFT PBE; size of the total moment = 0.0 μB/cell; formation energy from raw total energies = -0.91 eV/atom
1.0
5.960 -5.134 0.000
5.960 5.134 0.000
-0.035 0.000 6.024
Nb Pd Cl
2 1 8
Cartesian
1.929 0.000 1.088 Nb
9.955 0.000 4.936 Nb
-0.017 0.000 3.012 Pd
4.519 2.885 4.683 Cl
1.673 0.000 4.764 Cl
7.365 2.885 1.340 Cl
4.072 0.000 1.846 Cl
7.812 0.000 4.178 Cl
4.519 -2.885 4.683 Cl
10.211 0.000 1.259 Cl
7.365 -2.885 1.340 Cl

=====

Zr2AgPPd, relaxed, DFT PBE; size of the total moment = 0.0 μB/cell; energy above the most stable polymorph in this dataset = 647.0 meV per atom
1.0
5.136 0.000 0.000
0.000 5.136 0.000
0.000 0.000 4.373
Zr Ag P Pd
2 1 1 1
Cartesian
0.000 2.568 0.000 Zr
2.568 0.000 0.000 Zr
0.000 0.000 2.187 Ag
2.568 2.568 2.187 P
2.568 2.568 0.000 Pd

=====

PaFeP2Ir2, relaxed, DFT PBE; size of the total moment = 0.0 μB/cell; raw total energy = -8.277 eV per atom
1.0
-1.925 1.925 6.953
1.925 -1.925 6.953
1.925 1.925 -6.953
Pa Fe P Ir
1 1 2 2
Cartesian
0.000 0.000 0.000 Pa
0.000 0.000 6.953 Fe
0.000 0.000 4.826 P
0.000 0.000 9.079 P
1.925 0.000 3.476 Ir
0.000 1.925 3.476 Ir

=====

TaAu2Se, relaxed, DFT PBE; size of the total moment = 0.0 μB/cell; formation energy from raw total energies = -0.12 eV/atom
1.0
1.616 0.933 8.839
-1.616 0.933 8.839
0.000 -1.866 8.839
Ta Au Se
1 2 1
Cartesian
0.000 0.000 0.000 Ta
0.000 0.000 13.133 Au
0.000 0.000 19.783 Au
0.000 0.000 7.072 Se

=====

Ta2Rh, relaxed, DFT PBE; size of the total moment = 0.0 μB/cell; raw total energy = -9.886 eV per atom
1.0
6.171 0.000 0.000
0.000 6.171 0.000
0.000 0.000 6.171
Ta Rh
8 4
Cartesian
0.838 0.838 0.838 Ta
0.838 2.248 3.923 Ta
2.248 3.923 0.838 Ta
2.248 5.334 3.923 Ta
3.923 0.838 2.248 Ta
3.923 2.248 5.334 Ta
5.334 3.923 2.248 Ta
5.334 5.334 5.334 Ta
0.000 0.000 3.086 Rh
0.000 3.086 0.000 Rh
3.086 0.000 0.000 Rh
3.086 3.086 3.086 Rh

=====

Cs4Hg4Pb, relaxed, DFT PBE; size of the total moment = 0.0 μB/cell; raw total energy = -1.136 eV per atom
1.0
10.869 0.000 0.000
0.000 10.869 0.000
0.000 0.000 7.643
Cs Hg Pb
8 8 2
Cartesian
0.379 8.940 0.828 Cs
1.929 5.813 4.649 Cs
3.505 10.491 4.649 Cs
5.056 7.364 0.828 Cs
5.813 3.505 6.816 Cs
7.364 0.379 2.994 Cs
8.940 5.056 2.994 Cs
10.491 1.929 6.816 Cs
0.185 1.422 3.071 Hg
1.422 5.249 0.751 Hg
4.013 0.185 0.751 Hg
5.249 4.013 3.071 Hg
5.620 6.856 4.573 Hg
6.856 10.684 6.892 Hg
9.448 5.620 6.892 Hg
10.684 9.448 4.573 Hg
2.717 2.717 1.911 Pb
8.152 8.152 5.732 Pb

=====

Rb3SrC, relaxed, DFT PBE; size of the total moment = 0.0 μB/cell; raw total energy = -1.649 eV per atom
1.0
6.409 0.000 0.000
0.000 6.409 0.000
0.000 0.000 6.409
Rb Sr C
3 1 1
Cartesian
0.000 0.000 3.205 Rb
0.000 3.205 0.000 Rb
3.205 0.000 0.000 Rb
3.205 3.205 3.205 Sr
0.000 0.000 0.000 C

=====

Dy6SnHg8, relaxed, DFT PBE; size of the total moment = 0.0 μB/cell; raw total energy = -2.627 eV per atom
1.0
4.350 2.511 6.357
-4.350 2.511 6.357
0.000 -5.023 6.357
Dy Sn Hg
6 1 8
Cartesian
-1.164 -2.793 8.332 Dy
-3.001 -0.388 10.739 Dy
-1.837 2.405 8.332 Dy
1.837 -2.405 10.739 Dy
3.001 0.388 8.332 Dy
1.164 2.793 10.739 Dy
0.000 0.000 9.536 Sn
-2.823 -0.315 7.373 Hg
0.000 0.000 3.747 Hg
-1.139 -2.602 11.698 Hg
1.684 -2.287 7.373 Hg
-1.684 2.287 11.698 Hg
1.139 2.602 7.373 Hg
0.000 0.000 15.324 Hg
2.823 0.315 11.698 Hg

=====

Tm12GaCo6, relaxed, DFT PBE; size of the total moment = 0.0 μB/cell; energy above the most stable polymorph in this dataset = 0.0 meV per atom
1.0
-4.726 4.726 4.726
4.726 -4.726 4.726
4.726 4.726 -4.726
Tm Ga Co
12 1 6
Cartesian
4.726 -1.898 2.901 Tm
2.828 1.825 0.000 Tm
6.625 1.825 0.000 Tm
2.901 4.726 -1.898 Tm
1.825 0.000 2.828 Tm
0.000 2.828 1.825 Tm
4.726 1.898 2.901 Tm
2.901 4.726 1.898 Tm
1.825 0.000 6.625 Tm
-1.898 2.901 4.726 Tm
1.898 2.901 4.726 Tm
0.000 6.625 1.825 Tm
0.000 0.000 0.000 Ga
4.726 0.000 1.086 Co
4.726 3.640 0.000 Co
1.086 4.726 0.000 Co
3.640 0.000 4.726 Co
0.000 1.086 4.726 Co
0.000 4.726 3.640 Co

=====

PuHfZr2As4, relaxed, DFT PBE; size of the total moment = 5.3 μB/cell; raw total energy = -8.574 eV per atom
1.0
6.785 0.000 0.000
0.000 3.908 0.000
-2.220 0.000 6.421
Pu Hf Zr As
1 1 2 4
Cartesian
0.000 0.000 0.000 Pu
3.392 1.954 0.000 Hf
-1.110 1.954 3.211 Zr
2.282 0.000 3.211 Zr
0.079 0.000 4.813 As
1.192 1.954 1.647 As
3.373 1.954 4.774 As
4.486 0.000 1.608 As

=====

PmYP, relaxed, DFT PBE; size of the total moment = 0.1 μB/cell; energy above the most stable polymorph in this dataset = 0.0 meV per atom
1.0
3.969 0.000 0.000
-1.984 3.437 0.000
0.000 0.000 6.506
Pm Y P
1 1 1
Cartesian
0.000 0.000 0.000 Pm
1.984 1.146 3.203 Y
0.000 2.291 1.657 P

=====

CsNaGeBr4, relaxed, DFT PBE; size of the total moment = 0.0 μB/cell; formation energy from raw total energies = -1.16 eV/atom
1.0
7.970 0.000 0.000
0.000 7.711 0.000
-1.616 0.000 9.122
Cs Na Ge Br
2 2 2 8
Cartesian
1.070 1.928 0.919 Cs
5.285 5.783 8.203 Cs
0.535 5.783 4.006 Na
5.819 1.928 5.116 Na
1.837 1.928 6.524 Ge
4.517 5.783 2.598 Ge
0.058 0.005 6.317 Br
0.058 3.850 6.317 Br
1.710 5.783 1.369 Br
2.716 1.928 4.188 Br
3.639 5.783 4.934 Br
4.645 1.928 7.753 Br
6.297 3.861 2.805 Br
6.297 7.706 2.805 Br

=====

LiMoOs2, relaxed, DFT PBE; size of the total moment = 0.0 μB/cell; energy above the most stable polymorph in this dataset = 140.5 meV per atom
1.0
4.674 -1.358 0.000
4.674 1.358 0.000
-0.858 0.000 4.583
Li Mo Os
1 1 2
Cartesian
0.000 0.000 0.000 Li
1.530 0.000 3.429 Mo
4.167 0.000 2.229 Os
6.890 0.000 1.215 Os

=====

AcTl3, relaxed, DFT PBE; size of the total moment = 0.0 μB/cell; raw total energy = -3.117 eV per atom
1.0
5.010 0.000 0.000
0.000 5.010 0.000
0.000 0.000 5.010
Ac Tl
1 3
Cartesian
0.000 0.000 0.000 Ac
0.000 2.505 2.505 Tl
2.505 0.000 2.505 Tl
2.505 2.505 0.000 Tl